Below is SmMnGe2Pt5 after structural relaxation, with properties calculated at the PBE-GGA level.

DFT formation energy   -47 kJ/mol of atoms
Symmetry   P4/mmm, No. 123
Total magnetic moment   4.45 μB per formula unit

```
SmMnGe2Pt5
1.0
4.088 0.000 0.000
0.000 4.088 0.000
0.000 0.000 10.840
Sm Pt Ge Mn
1 5 2 1
Direct
0.000 0.000 0.500
0.000 0.500 0.150
0.500 0.500 0.500
0.000 0.500 0.850
0.500 0.000 0.150
0.500 0.000 0.850
0.500 0.500 0.277
0.500 0.500 0.723
0.000 0.000 0.000
```


Below is Sr2MnGe3Pt4 after structural relaxation, with properties calculated at the PBE-GGA level.

DFT formation energy   -70 kJ/mol of atoms
Symmetry   P-4m2, No. 115
Total magnetic moment   4.17 μB per formula unit

```
Sr2MnGe3Pt4
1.0
-1.003 -3.535 -2.373
3.722 0.456 -2.252
4.974 -6.099 6.984
Ge Pt Mn Sr
3 4 1 2
Direct
0.000 0.500 0.127
0.500 0.000 0.873
0.000 0.000 0.500
0.500 0.500 0.000
0.000 0.000 0.000
0.000 0.500 0.365
0.500 0.000 0.635
0.500 0.500 0.500
0.500 0.000 0.250
0.000 0.500 0.750
```


Below is SrMnGe2Pt5 after structural relaxation, with properties calculated at the PBE-GGA level.

DFT formation energy   -48 kJ/mol of atoms
Symmetry   P4/mmm, No. 123
Total magnetic moment   4.13 μB per formula unit

```
SrMnGe2Pt5
1.0
4.154 0.000 0.000
0.000 4.154 0.000
0.000 0.000 10.684
Pt Mn Ge Sr
5 1 2 1
Direct
0.500 0.000 0.852
0.500 0.000 0.148
0.500 0.500 0.500
0.000 0.500 0.148
0.000 0.500 0.852
0.000 0.000 0.000
0.500 0.500 0.726
0.500 0.500 0.274
0.000 0.000 0.500
```


Below is Tb2MnGe4Pt3 after structural relaxation, with properties calculated at the PBE-GGA level.

DFT formation energy   -77 kJ/mol of atoms
Symmetry   P-4m2, No. 115
Total magnetic moment   3.31 μB per formula unit

```
Tb2MnGe4Pt3
1.0
-3.017 -2.494 1.363
2.440 -1.253 3.107
-3.813 8.018 6.229
Mn Pt Ge Tb
1 3 4 2
Direct
0.500 0.500 0.500
0.500 0.000 0.863
0.000 0.000 0.500
0.000 0.500 0.137
0.500 0.500 0.000
0.500 0.000 0.635
0.000 0.500 0.365
0.000 0.000 0.000
0.500 0.000 0.256
0.000 0.500 0.744
```


Below is Tb2MnGe3Pt4 after structural relaxation, with properties calculated at the PBE-GGA level.

DFT formation energy   -80 kJ/mol of atoms
Symmetry   P-4m2, No. 115
Total magnetic moment   3.64 μB per formula unit

```
Tb2MnGe3Pt4
1.0
4.173 0.000 0.000
0.000 4.173 0.000
0.000 0.000 10.726
Pt Ge Tb Mn
4 3 2 1
Direct
0.500 0.500 0.000
0.000 0.000 0.000
0.500 0.000 0.639
0.000 0.500 0.361
0.500 0.000 0.864
0.000 0.000 0.500
0.000 0.500 0.136
0.000 0.500 0.752
0.500 0.000 0.248
0.500 0.500 0.500
```


Below is Th2MnGe3Pt4 after structural relaxation, with properties calculated at the PBE-GGA level.

DFT formation energy   -82 kJ/mol of atoms
Symmetry   P-4m2, No. 115
Total magnetic moment   3.40 μB per formula unit

```
Th2MnGe3Pt4
1.0
4.308 0.000 0.000
0.000 4.308 0.000
0.000 0.000 10.376
Pt Mn Th Ge
4 1 2 3
Direct
0.000 0.500 0.367
0.000 0.000 0.000
0.500 0.000 0.633
0.500 0.500 0.000
0.500 0.500 0.500
0.500 0.000 0.248
0.000 0.500 0.752
0.500 0.000 0.868
0.000 0.500 0.132
0.000 0.000 0.500
```


Below is Th2MnGe4Pt3 after structural relaxation, with properties calculated at the PBE-GGA level.

DFT formation energy   -77 kJ/mol of atoms
Symmetry   P-4m2, No. 115
Total magnetic moment   0.35 μB per formula unit

```
Th2MnGe4Pt3
1.0
4.287 0.000 0.000
0.000 4.287 0.000
0.000 0.000 10.238
Pt Th Ge Mn
3 2 4 1
Direct
0.000 0.500 0.131
0.500 0.000 0.869
0.000 0.000 0.500
0.000 0.500 0.740
0.500 0.000 0.260
0.500 0.000 0.626
0.000 0.000 0.000
0.000 0.500 0.374
0.500 0.500 0.000
0.500 0.500 0.500
```


Below is Y2MnGe4Pt3 after structural relaxation, with properties calculated at the PBE-GGA level.

DFT formation energy   -77 kJ/mol of atoms
Symmetry   P-4m2, No. 115
Total magnetic moment   3.31 μB per formula unit

```
Y2MnGe4Pt3
1.0
4.134 0.000 0.000
0.000 4.134 0.000
0.000 0.000 10.884
Mn Pt Ge Y
1 3 4 2
Direct
0.500 0.500 0.500
0.500 0.000 0.862
0.000 0.500 0.138
0.000 0.000 0.500
0.500 0.000 0.636
0.500 0.500 0.000
0.000 0.500 0.364
0.000 0.000 0.000
0.000 0.500 0.743
0.500 0.000 0.257
```


Below is Y2MnGePt after structural relaxation, with properties calculated at the PBE-GGA level.

DFT formation energy   13 kJ/mol of atoms
Symmetry   P4/mmm, No. 123
Total magnetic moment   0.00 μB per formula unit

```
Y2MnGePt
1.0
4.884 0.000 0.000
0.000 4.597 0.000
0.000 0.000 4.884
Pt Y Mn Ge
1 2 1 1
Direct
0.000 0.500 0.000
0.500 0.000 0.000
0.000 0.000 0.500
0.000 0.000 0.000
0.500 0.500 0.500
```


Below is MnZnGePt after structural relaxation, with properties calculated at the PBE-GGA level.

DFT formation energy   -16 kJ/mol of atoms
Symmetry   F-43m, No. 216
Total magnetic moment   3.73 μB per formula unit

```
MnZnGePt
1.0
-0.290 -1.165 -4.229
-3.632 -1.979 -1.490
-2.729 2.153 -2.691
Pt Mn Zn Ge
1 1 1 1
Direct
0.500 0.500 0.500
0.000 0.000 0.000
0.750 0.750 0.750
0.250 0.250 0.250
```


Below is MnZnGe2Pt after structural relaxation, with properties calculated at the PBE-GGA level.

DFT formation energy   46 kJ/mol of atoms
Symmetry   P4/mmm, No. 123
Total magnetic moment   4.38 μB per formula unit

```
MnZnGe2Pt
1.0
-4.016 0.405 2.674
0.398 -4.621 1.298
2.675 1.304 3.820
Pt Ge Zn Mn
1 2 1 1
Direct
0.000 0.000 0.000
0.500 0.000 0.000
0.000 0.000 0.500
0.000 0.500 0.000
0.500 0.500 0.500
```


Below is Pu2MnGe after structural relaxation, with properties calculated at the PBE-GGA level.

DFT formation energy   -24 kJ/mol of atoms
Symmetry   P4/mmm, No. 123
Total magnetic moment   7.52 μB per formula unit

```
Pu2MnGe
1.0
4.247 0.000 0.000
0.000 4.308 0.000
0.000 0.000 4.308
Ge Pu Mn
1 2 1
Direct
0.500 0.000 0.000
0.000 0.000 0.500
0.000 0.500 0.000
0.500 0.500 0.500
```


Below is PuMnGe4 after structural relaxation, with properties calculated at the PBE-GGA level.

DFT formation energy   -17 kJ/mol of atoms
Symmetry   Pmma, No. 51
Total magnetic moment   5.10 μB per formula unit

```
PuMnGe4
1.0
-0.490 0.949 -3.796
-4.255 -5.711 -0.878
-5.940 4.149 1.804
Ge Pu Mn
8 2 2
Direct
0.000 0.000 0.000
0.500 0.337 0.574
0.500 0.032 0.250
0.500 0.663 0.074
0.500 0.968 0.750
0.000 0.000 0.500
0.500 0.337 0.926
0.500 0.663 0.426
0.000 0.659 0.750
0.000 0.341 0.250
0.000 0.203 0.750
0.000 0.797 0.250
```


Below is Pu4Mn4Ge after structural relaxation, with properties calculated at the PBE-GGA level.

DFT formation energy   1 kJ/mol of atoms
Symmetry   P2/c, No. 13
Total magnetic moment   12.99 μB per formula unit
E above lowest polymorph   0.026 eV per atom

```
Pu4Mn4Ge
1.0
-0.332 1.065 -4.541
-9.180 1.252 0.966
-0.502 7.586 1.816
Mn Pu Ge
8 8 2
Direct
0.411 0.506 0.836
0.848 0.398 0.470
0.152 0.898 0.970
0.848 0.102 0.030
0.589 0.494 0.164
0.411 0.994 0.664
0.589 0.006 0.336
0.152 0.602 0.530
0.618 0.692 0.494
0.382 0.308 0.506
0.125 0.575 0.161
0.875 0.075 0.661
0.382 0.192 0.994
0.125 0.925 0.339
0.618 0.808 0.006
0.875 0.425 0.839
0.119 0.750 0.750
0.881 0.250 0.250
```


Below is Pu6MnGe3 after structural relaxation, with properties calculated at the PBE-GGA level.

DFT formation energy   -10 kJ/mol of atoms
Symmetry   R-3m, No. 166
Total magnetic moment   31.31 μB per formula unit

```
Pu6MnGe3
1.0
7.730 0.984 1.006
0.816 7.749 1.006
0.816 0.834 7.770
Pu Ge Mn
12 6 2
Direct
0.217 0.865 0.217
0.865 0.217 0.217
0.158 0.529 0.529
0.842 0.471 0.471
0.529 0.158 0.529
0.529 0.529 0.158
0.471 0.842 0.471
0.135 0.783 0.783
0.783 0.783 0.135
0.217 0.217 0.865
0.783 0.135 0.783
0.471 0.471 0.842
0.151 0.151 0.483
0.483 0.151 0.151
0.151 0.483 0.151
0.517 0.849 0.849
0.849 0.849 0.517
0.849 0.517 0.849
0.500 0.500 0.500
0.000 0.000 0.000
```


Below is Pu4Mn4Ge after structural relaxation, with properties calculated at the PBE-GGA level.

DFT formation energy   -2 kJ/mol of atoms
Symmetry   I4/m, No. 87
Total magnetic moment   9.51 μB per formula unit
E above lowest polymorph   0.000 eV per atom

```
Pu4Mn4Ge
1.0
4.309 0.000 0.000
2.154 6.142 0.000
2.154 0.000 6.142
Pu Mn Ge
4 4 1
Direct
0.669 0.999 0.663
0.331 0.001 0.337
0.332 0.337 0.999
0.668 0.663 0.001
0.350 0.650 0.650
0.000 0.650 0.350
0.650 0.350 0.350
0.000 0.350 0.650
0.000 0.000 0.000
```


Below is PuMn2Ge after structural relaxation, with properties calculated at the PBE-GGA level.

DFT formation energy   -8 kJ/mol of atoms
Symmetry   P4/mmm, No. 123
Total magnetic moment   0.69 μB per formula unit

```
PuMn2Ge
1.0
3.580 0.000 0.000
0.000 4.161 0.000
0.000 0.000 4.161
Ge Mn Pu
1 2 1
Direct
0.500 0.000 0.000
0.000 0.500 0.000
0.000 0.000 0.500
0.500 0.500 0.500
```


Below is Pu3Mn2Ge4 after structural relaxation, with properties calculated at the PBE-GGA level.

DFT formation energy   -29 kJ/mol of atoms
Symmetry   C2/m, No. 12
Total magnetic moment   10.40 μB per formula unit

```
Pu3Mn2Ge4
1.0
-3.095 2.400 -1.315
0.050 -5.207 -3.131
-3.799 -0.876 7.342
Pu Mn Ge
3 2 4
Direct
0.608 0.217 0.683
0.000 0.000 0.000
0.392 0.783 0.317
0.694 0.388 0.359
0.306 0.612 0.641
0.906 0.811 0.606
0.283 0.566 0.925
0.717 0.434 0.075
0.094 0.189 0.394
```


Below is Pu3Mn2Ge7 after structural relaxation, with properties calculated at the PBE-GGA level.

DFT formation energy   -31 kJ/mol of atoms
Symmetry   Cmmm, No. 65
Total magnetic moment   3.50 μB per formula unit

```
Pu3Mn2Ge7
1.0
-2.652 3.274 0.119
-3.075 -2.434 -1.557
-1.907 -2.003 12.625
Pu Ge Mn
3 7 2
Direct
0.500 0.500 0.000
0.000 0.183 0.367
0.000 0.817 0.633
0.000 0.586 0.172
0.500 0.914 0.827
0.500 0.086 0.173
0.000 0.000 0.000
0.500 0.721 0.442
0.500 0.279 0.558
0.000 0.414 0.828
0.500 0.628 0.256
0.500 0.372 0.744
```


Below is PuMn3Ge2 after structural relaxation, with properties calculated at the PBE-GGA level.

DFT formation energy   -19 kJ/mol of atoms
Symmetry   C2/m, No. 12
Total magnetic moment   4.69 μB per formula unit

```
PuMn3Ge2
1.0
3.900 0.000 0.000
-1.950 7.377 0.008
0.000 -3.314 6.639
Ge Mn Pu
4 6 2
Direct
0.469 0.939 0.805
0.531 0.061 0.195
0.796 0.592 0.277
0.204 0.408 0.723
0.048 0.096 0.403
0.704 0.409 0.485
0.952 0.904 0.597
0.296 0.591 0.515
0.588 0.177 0.652
0.412 0.823 0.348
0.142 0.285 0.053
0.858 0.715 0.947
```